This record from Alexandria describes crystalline CeZr4Sb4 at its relaxed geometry. The functional is PBE.

* formation energy (no corrections): -4.150 eV/f.u.
* raw total energy: -6.75 eV/atom

a b c (Å): 5.6840 9.6666 9.6666
angles (deg): 90.00 90.00 90.00
Site moments in Bohr magnetons follow the coordinates.
Positions (direct):
Ce: 0.0000 0.0000 0.0000  1.04
Ce: 0.5000 0.5000 0.5000  1.04
Zr: 0.5002 0.9010 0.3774  0.01
Zr: 0.5002 0.0990 0.6226  0.01
Zr: 0.0002 0.8774 0.5990  0.01
Zr: 0.9998 0.4010 0.8774  0.01
Zr: 0.9998 0.5990 0.1226  0.01
Zr: 0.4998 0.3774 0.0990  0.01
Zr: 0.4998 0.6226 0.9010  0.01
Zr: 0.0002 0.1226 0.4010  0.01
Sb: 0.4998 0.3476 0.7945  -0.01
Sb: 0.9998 0.7055 0.8476  -0.01
Sb: 0.4998 0.6524 0.2055  -0.01
Sb: 0.0002 0.1524 0.7055  -0.01
Sb: 0.5002 0.7945 0.6524  -0.01
Sb: 0.0002 0.8476 0.2945  -0.01
Sb: 0.9998 0.2945 0.1524  -0.01
Sb: 0.5002 0.2055 0.3476  -0.01

***

This record from Alexandria describes crystalline Mg2ZnCuPb at its relaxed geometry. The functional is PBE.

* raw total energy: -1.94 eV/atom
* ΔE_f: 248.2 kJ/mol of formula units

a b c (Å): 4.9484 5.4022 4.9484
angles (deg): 90.00 90.00 90.00
Positions (direct):
Pb: 0.0000 0.5000 0.0000
Zn: 0.0000 0.0000 0.0000
Mg: 0.0000 0.0000 0.5000
Mg: 0.5000 0.0000 0.0000
Cu: 0.5000 0.5000 0.5000

***

This record from Alexandria describes crystalline Fe2ReTe at its relaxed geometry. The functional is PBE.

* formation energy (no corrections): 2.990 eV/f.u.
* raw total energy: -7.38 eV/atom

a b c (Å): 2.8248 2.8248 8.6617
angles (deg): 90.00 90.00 110.04
Site moments in Bohr magnetons follow the coordinates.
Positions (direct):
Fe: 0.0000 0.0000 0.0343  2.69
Fe: 0.5000 0.5000 0.2415  2.49
Re: 0.0000 0.0000 0.4592  -0.14
Te: 0.5000 0.5000 0.7650  -0.01

***

So what do the calculations give for Fermi-level density of states? Going down the list: 25.6 2.8 3.8 states/eV/cell.